Na2La3YSe6 after structural relaxation, computed with PBE.

Results
Final energy, eV/atom: -5.524
Raw formation energy, eV/atom: -1.792
Total magnetization, μB/cell: 0.00

a = 7.4151 Å, b = 7.4151 Å, c = 7.3042 Å
α = 99.72°, β = 99.72°, γ = 119.92°
Sites, in units of the cell vectors:
1 Na 0.1656 0.8344 0.0000
2 Na 0.8344 0.1656 0.0000
3 La 0.0000 0.0000 0.5000
4 La 0.3294 0.6706 0.5000
5 La 0.6706 0.3294 0.5000
6 Y 0.5000 0.5000 0.0000
7 Se 0.0946 0.4198 0.7598
8 Se 0.2580 0.2580 0.2464
9 Se 0.4198 0.0946 0.7598
10 Se 0.5802 0.9054 0.2402
11 Se 0.7420 0.7420 0.7536
12 Se 0.9054 0.5802 0.2402